Entry 1:
Density functional theory data (GGA-PBE) for crystalline DyLuIn2Ni4 at its relaxed geometry.

```
8
Lattice="3.990 0.000 0.000 0.000 5.064 0.000 0.000 0.000 6.972" Properties=species:S:1:pos:R:3 pbc="T T T"
Dy 0.000 0.000 0.000
Lu 0.000 2.532 3.294
In 1.995 0.000 2.633
In 1.995 2.532 0.647
Ni 0.000 0.000 4.316
Ni 0.000 2.532 5.903
Ni 1.995 1.279 5.098
Ni 1.995 3.786 5.098
```

Values from the calculation:
Final energy   -5.0741 eV per atom
Total magnetization   0.00 μB/cell

=====

Entry 2:
Density functional theory data (GGA-PBE) for crystalline Dy2LuIn3Pt2 at its relaxed geometry.

```
16
Lattice="3.613 0.000 0.000 0.000 13.302 0.000 0.000 0.000 7.680" Properties=species:S:1:pos:R:3 pbc="T T T"
Dy 0.000 2.799 0.000
Dy 0.000 3.852 3.840
Dy 0.000 9.450 3.840
Dy 0.000 10.503 0.000
Lu 0.000 0.000 4.857
Lu 0.000 6.651 1.017
In 1.807 0.000 7.511
In 1.807 1.525 2.508
In 1.807 5.126 6.347
In 1.807 6.651 3.671
In 1.807 8.176 6.347
In 1.807 11.777 2.508
Pt 1.807 2.169 5.442
Pt 1.807 4.482 1.602
Pt 1.807 8.821 1.602
Pt 1.807 11.133 5.442
```

Values from the calculation:
Final energy   -5.1419 eV per atom
Total magnetization   0.04 μB/cell

=====

Entry 3:
Density functional theory data (GGA-PBE) for crystalline DyLu2In3Pt2 at its relaxed geometry.

```
16
Lattice="3.578 0.000 0.000 0.000 13.307 0.000 0.000 0.000 7.641" Properties=species:S:1:pos:R:3 pbc="T T T"
Dy 0.000 0.000 0.000
Dy 0.000 6.653 3.820
Lu 0.000 2.807 2.813
Lu 0.000 3.846 6.633
Lu 0.000 9.461 6.633
Lu 0.000 10.500 2.813
In 1.789 0.000 2.672
In 1.789 1.549 5.301
In 1.789 5.105 1.480
In 1.789 6.653 6.492
In 1.789 8.202 1.480
In 1.789 11.758 5.301
Pt 1.789 2.254 0.614
Pt 1.789 4.399 4.435
Pt 1.789 8.908 4.435
Pt 1.789 11.053 0.614
```

Values from the calculation:
Final energy   -5.1329 eV per atom
Total magnetization   0.04 μB/cell

=====

Entry 4:
Density functional theory data (GGA-PBE) for crystalline DyLuSc2In2 at its relaxed geometry.

```
6
Lattice="5.159 0.000 0.000 -2.579 4.467 0.000 0.000 0.000 6.535" Properties=species:S:1:pos:R:3 pbc="T T T"
Dy 0.000 0.000 0.000
Lu 0.000 0.000 3.268
Sc 0.000 2.978 4.880
Sc 2.579 1.489 1.655
In 0.000 2.978 1.646
In 2.579 1.489 4.889
```

Values from the calculation:
Final energy   -4.9098 eV per atom
Total magnetization   0.25 μB/cell